The following is a GGA-PBE calculation of a geometry-optimized SrLiP2Os structure, from the Open Quantum Materials Database.

Output
Total energy in Ry/atom: -0.425

Lattice parameters (Å, degrees): 6.355 6.355 6.355 143.13 143.13 53.13
Fractional coordinates of all 5 atoms:
P: 0.645 0.645 0.000
P: 0.355 0.355 0.000
Sr: 0.000 0.000 0.000
Li: 0.250 0.750 0.500
Os: 0.750 0.250 0.500

***

The following is a GGA-PBE calculation of a geometry-optimized Sc4Si3W2C3 structure, from the Open Quantum Materials Database.

Output
Total energy in Ry/atom: -0.626

Lattice parameters (Å, degrees): 5.559 5.559 13.480 101.88 101.88 60.25
Fractional coordinates of all 24 atoms:
C: 0.180 0.660 0.000
Si: 0.154 0.846 0.750
W: 0.349 0.526 0.581
Si: 0.412 0.323 0.751
Sc: 0.192 0.040 0.100
C: 0.000 0.500 0.500
Sc: 0.960 0.808 0.400
Sc: 0.876 0.698 0.100
C: 0.340 0.820 0.500
W: 0.474 0.651 0.919
Sc: 0.302 0.124 0.400
Sc: 0.040 0.192 0.600
W: 0.651 0.474 0.419
Sc: 0.124 0.302 0.900
Si: 0.323 0.412 0.251
C: 0.660 0.180 0.500
C: 0.500 0.000 0.000
Sc: 0.698 0.876 0.600
Si: 0.588 0.677 0.249
Sc: 0.808 0.960 0.900
W: 0.526 0.349 0.081
Si: 0.846 0.154 0.250
Si: 0.677 0.588 0.749
C: 0.820 0.340 0.000

***

The following is a GGA-PBE calculation of a geometry-optimized Cu2Ag3 structure, from the Open Quantum Materials Database.

Output
Total energy in Ry/atom: -0.227
Excess energy over the best structure of this formula in the dataset in meV per atom: 58
Calculated formation energy in meV per atom: 90

Lattice parameters (Å, degrees): 2.840 3.844 14.216 90.00 90.00 90.00
Fractional coordinates of all 10 atoms:
Cu: 0.000 0.000 0.208
Ag: 0.500 0.500 0.109
Cu: 0.000 0.000 0.402
Ag: 0.500 0.500 0.500
Ag: 0.500 0.500 0.891
Ag: 0.000 0.000 0.000
Cu: 0.000 0.000 0.792
Ag: 0.500 0.500 0.696
Cu: 0.000 0.000 0.598
Ag: 0.500 0.500 0.304

***

The following is a GGA-PBE calculation of a geometry-optimized Tb2Ge2O7 structure, from the Open Quantum Materials Database.

Output
Total energy in Ry/atom: -0.547

Lattice parameters (Å, degrees): 6.826 6.826 12.439 90.00 90.00 90.00
Fractional coordinates of all 44 atoms:
O: 0.576 0.470 0.125
O: 0.701 0.299 0.750
O: 0.563 0.839 0.071
O: 0.339 0.937 0.821
Ge: 0.601 0.346 0.620
O: 0.356 0.816 0.456
O: 0.856 0.684 0.294
Ge: 0.346 0.601 0.380
O: 0.970 0.924 0.875
O: 0.437 0.161 0.571
O: 0.161 0.437 0.429
O: 0.816 0.356 0.544
O: 0.316 0.144 0.206
Tb: 0.125 0.352 0.615
Tb: 0.852 0.375 0.365
Tb: 0.625 0.148 0.135
O: 0.937 0.339 0.179
O: 0.799 0.799 0.500
Ge: 0.846 0.899 0.370
O: 0.684 0.856 0.706
O: 0.530 0.424 0.375
Ge: 0.899 0.846 0.630
O: 0.424 0.530 0.625
O: 0.661 0.063 0.321
Tb: 0.648 0.875 0.885
O: 0.201 0.201 0.000
Tb: 0.375 0.852 0.635
O: 0.299 0.701 0.250
O: 0.924 0.970 0.125
Ge: 0.101 0.154 0.130
O: 0.644 0.184 0.956
O: 0.839 0.563 0.929
Tb: 0.148 0.625 0.865
O: 0.184 0.644 0.044
O: 0.063 0.661 0.679
O: 0.076 0.030 0.625
Ge: 0.399 0.654 0.120
Tb: 0.875 0.648 0.115
O: 0.470 0.576 0.875
Ge: 0.654 0.399 0.880
Ge: 0.154 0.101 0.870
O: 0.030 0.076 0.375
Tb: 0.352 0.125 0.385
O: 0.144 0.316 0.794

***

The following is a GGA-PBE calculation of a geometry-optimized DyTm3C2Se2 structure, from the Open Quantum Materials Database.

Output
Total energy in Ry/atom: -0.486

Lattice parameters (Å, degrees): 3.715 3.715 13.109 90.00 90.00 120.00
Fractional coordinates of all 8 atoms:
Tm: 0.667 0.333 0.101
C: 0.333 0.667 0.500
Se: 0.000 0.000 0.251
Tm: 0.667 0.333 0.401
C: 0.333 0.667 0.002
Tm: 0.000 0.000 0.598
Se: 0.667 0.333 0.747
Dy: 0.000 0.000 0.900

***

The following is a GGA-PBE calculation of a geometry-optimized NaTe2IrAuSe structure, from the Open Quantum Materials Database.

Output
Total energy in Ry/atom: -0.300

Lattice parameters (Å, degrees): 8.051 8.051 10.268 90.00 90.00 28.26
Fractional coordinates of all 12 atoms:
Te: 0.384 0.384 0.000
Ir: 0.000 0.000 0.500
Na: 0.722 0.722 0.250
Se: 0.043 0.043 0.250
Te: 0.616 0.616 0.501
Au: 0.365 0.365 0.250
Na: 0.278 0.278 0.750
Te: 0.384 0.384 0.499
Se: 0.957 0.957 0.750
Au: 0.635 0.635 0.750
Te: 0.616 0.616 0.000
Ir: 0.000 0.000 0.000

***

The following is a GGA-PBE calculation of a geometry-optimized AlCdW structure, from the Open Quantum Materials Database.

Output
Total energy in Ry/atom: -0.352
Excess energy over the best structure of this formula in the dataset in meV per atom: 113

Lattice parameters (Å, degrees): 4.483 4.483 4.483 60.00 60.00 60.00
Fractional coordinates of all 3 atoms:
Cd: 0.750 0.750 0.750
W: 0.000 0.000 0.000
Al: 0.250 0.250 0.250

***

The following is a GGA-PBE calculation of a geometry-optimized Mg2Ni3Sn2 structure, from the Open Quantum Materials Database.

Output
Total energy in Ry/atom: -0.316

Lattice parameters (Å, degrees): 7.445 7.445 7.445 33.92 33.92 33.92
Fractional coordinates of all 7 atoms:
Ni: 0.879 0.879 0.879
Ni: 0.625 0.625 0.625
Mg: 0.754 0.754 0.754
Sn: 0.003 0.003 0.003
Ni: 0.371 0.371 0.371
Sn: 0.498 0.498 0.498
Mg: 0.245 0.245 0.245